(i)
# K2CrRh GGA-PBEsol optimized geometry
data_K2CrRh
_space_group_name_H-M_alt 'F -4 3 m'
_space_group_IT_number 216
_space_group_name_Hall 'F -4 2 3'
_cell_length_a 7.174
_cell_length_b 7.174
_cell_length_c 7.174
_cell_angle_alpha 90.00
_cell_angle_beta 90.00
_cell_angle_gamma 90.00
loop_
_atom_site_label
_atom_site_type_symbol
_atom_site_fract_x
_atom_site_fract_y
_atom_site_fract_z
K1 K 0.000 0.000 0.000
K2 K 0.250 0.250 0.250
Cr1 Cr 0.000 0.000 0.500
Rh1 Rh 0.250 0.250 0.750
# mass density	4193	kg/m³
# N(E_F)	4.94	states/eV/f.u.



(ii)
# K2CrRh GGA-PBEsol optimized geometry
data_K2CrRh
_space_group_name_H-M_alt 'P 4/m m m'
_space_group_IT_number 123
_space_group_name_Hall '-P 4 2'
_cell_length_a 4.436
_cell_length_b 4.436
_cell_length_c 5.343
_cell_angle_alpha 90.00
_cell_angle_beta 90.00
_cell_angle_gamma 90.00
loop_
_atom_site_label
_atom_site_type_symbol
_atom_site_fract_x
_atom_site_fract_y
_atom_site_fract_z
K1 K 0.000 0.000 0.245
Cr1 Cr 0.500 0.500 0.500
Rh1 Rh 0.500 0.500 0.000
# mass density	3681	kg/m³
# N(E_F)	3.38	states/eV/f.u.



The computed energies, referenced to the most stable structure and given in kJ/mol of atoms, are (i) 0.0; (ii) 13.9.



(i)
# KCr2S4 GGA-PBEsol optimized geometry
data_KCr2S4
_space_group_name_H-M_alt 'P -6 m 2'
_space_group_IT_number 187
_space_group_name_Hall 'P -6 2'
_cell_length_a 3.5281
_cell_length_b 3.5281
_cell_length_c 12.0481
_cell_angle_alpha 90.00
_cell_angle_beta 90.00
_cell_angle_gamma 120.00
loop_
_atom_site_label
_atom_site_type_symbol
_atom_site_fract_x
_atom_site_fract_y
_atom_site_fract_z
K1 K 0.0000 0.0000 0.0000
Cr1 Cr 0.6667 0.3333 0.2969
S1 S 0.0000 0.0000 0.3894
S2 S 0.3333 0.6667 0.1889
# mass density	3469	kg/m³
# N(E_F)	0.45	states/eV/f.u.



(ii)
# KCr2S4 GGA-PBEsol optimized geometry
data_KCr2S4
_space_group_name_H-M_alt 'C 1 2/m 1'
_space_group_IT_number 12
_cell_length_a 15.657
_cell_length_b 3.102
_cell_length_c 5.458
_cell_angle_alpha 90.00
_cell_angle_beta 102.31
_cell_angle_gamma 90.00
loop_
_space_group_symop_operation_xyz
'x,y,z'
'-x,-y,-z'
'-x,y,-z'
'x,-y,z'
'x+1/2,y+1/2,z'
'-x+1/2,-y+1/2,-z'
'-x+1/2,y+1/2,-z'
'x+1/2,-y+1/2,z'
loop_
_atom_site_label
_atom_site_type_symbol
_atom_site_fract_x
_atom_site_fract_y
_atom_site_fract_z
K1 K 0.000 0.000 0.000
Cr1 Cr 0.246 0.500 0.695
S1 S 0.147 0.000 0.515
S2 S 0.172 0.500 0.028
# mass density	3480	kg/m³
# N(E_F)	2.77	states/eV/f.u.



The computed energies, referenced to the most stable structure and given in kJ/mol of atoms, are (i) 9.4; (ii) 0.0.



(i)
# KSc2Cr GGA-PBEsol optimized geometry
data_KSc2Cr
_space_group_name_H-M_alt 'P 4/m m m'
_space_group_IT_number 123
_space_group_name_Hall '-P 4 2'
_cell_length_a 3.259
_cell_length_b 3.259
_cell_length_c 9.803
_cell_angle_alpha 90.00
_cell_angle_beta 90.00
_cell_angle_gamma 90.00
loop_
_atom_site_label
_atom_site_type_symbol
_atom_site_fract_x
_atom_site_fract_y
_atom_site_fract_z
K1 K 0.000 0.000 0.000
Sc1 Sc 0.500 0.500 0.344
Cr1 Cr 0.000 0.000 0.500
# mass density	2886	kg/m³
# N(E_F)	4.06	states/eV/f.u.



(ii)
# KSc2Cr GGA-PBEsol optimized geometry
data_KSc2Cr
_space_group_name_H-M_alt 'C 1 m 1'
_space_group_IT_number 8
_cell_length_a 9.530
_cell_length_b 3.103
_cell_length_c 7.931
_cell_angle_alpha 90.00
_cell_angle_beta 94.78
_cell_angle_gamma 90.00
loop_
_space_group_symop_operation_xyz
'x,y,z'
'x,-y,z'
'x+1/2,y+1/2,z'
'x+1/2,-y+1/2,z'
loop_
_atom_site_label
_atom_site_type_symbol
_atom_site_fract_x
_atom_site_fract_y
_atom_site_fract_z
K1 K 0.000 0.000 0.000
Sc1 Sc 0.228 0.000 0.633
Sc2 Sc 0.478 0.000 0.433
Cr1 Cr 0.238 0.500 0.355
# mass density	2572	kg/m³
# N(E_F)	4.67	states/eV/f.u.



(iii)
# KSc2Cr GGA-PBEsol optimized geometry
data_KSc2Cr
_space_group_name_H-M_alt 'P m m m'
_space_group_IT_number 47
_cell_length_a 3.373
_cell_length_b 5.449
_cell_length_c 5.489
_cell_angle_alpha 90.00
_cell_angle_beta 90.00
_cell_angle_gamma 90.00
loop_
_space_group_symop_operation_xyz
'x,y,z'
'-x,-y,-z'
'-x,-y,z'
'x,y,-z'
'x,-y,-z'
'-x,y,z'
'-x,y,-z'
'x,-y,z'
loop_
_atom_site_label
_atom_site_type_symbol
_atom_site_fract_x
_atom_site_fract_y
_atom_site_fract_z
K1 K 0.000 0.000 0.000
Sc1 Sc 0.000 0.500 0.500
Sc2 Sc 0.500 0.500 0.000
Cr1 Cr 0.500 0.000 0.500
# mass density	2979	kg/m³
# N(E_F)	5.82	states/eV/f.u.



The computed energies, referenced to the most stable structure and given in kJ/mol of atoms, are (i) 0.0; (ii) 32.7; (iii) 54.5.



(i)
# KSr2Cr GGA-PBEsol optimized geometry
data_KSr2Cr
_space_group_name_H-M_alt 'F m -3 m'
_space_group_IT_number 225
_space_group_name_Hall '-F 4 2 3'
_cell_length_a 8.612
_cell_length_b 8.612
_cell_length_c 8.612
_cell_angle_alpha 90.00
_cell_angle_beta 90.00
_cell_angle_gamma 90.00
loop_
_atom_site_label
_atom_site_type_symbol
_atom_site_fract_x
_atom_site_fract_y
_atom_site_fract_z
K1 K 0.000 0.000 0.000
Sr1 Sr 0.250 0.250 0.250
Cr1 Cr 0.000 0.000 0.500
# mass density	2770	kg/m³
# N(E_F)	4.69	states/eV/f.u.



(ii)
# KSr2Cr GGA-PBEsol optimized geometry
data_KSr2Cr
_space_group_name_H-M_alt 'P 4/m m m'
_space_group_IT_number 123
_space_group_name_Hall '-P 4 2'
_cell_length_a 4.026
_cell_length_b 4.026
_cell_length_c 10.842
_cell_angle_alpha 90.00
_cell_angle_beta 90.00
_cell_angle_gamma 90.00
loop_
_atom_site_label
_atom_site_type_symbol
_atom_site_fract_x
_atom_site_fract_y
_atom_site_fract_z
K1 K 0.000 0.000 0.000
Sr1 Sr 0.500 0.500 0.322
Cr1 Cr 0.000 0.000 0.500
# mass density	2517	kg/m³
# N(E_F)	3.18	states/eV/f.u.



The computed energies, referenced to the most stable structure and given in kJ/mol of atoms, are (i) 11.8; (ii) 0.0.